DFT (PBE) results for a relaxed structure of CsVNi2Br.

Geometry as POSCAR:
```
CsVNi2Br
1.0
4.808 0.000 0.000
0.000 4.808 0.000
0.000 0.000 6.391
Cs V Ni Br
1 1 2 1
Direct
0.000 0.000 0.000
0.500 0.500 0.500
0.000 0.500 0.000
0.500 0.000 0.000
0.000 0.000 0.500
```

Output
M_tot = 3.83 μB/cell
Total energy = -0.2118 Ry per atom
Energy relative to the elements, uncorrected = 1.76 eV per atom